1.
Computed, not measured: an optimized crystal structure of PrTmPuTh at the PBE level of DFT.

a = 7.946 Å, b = 7.946 Å, c = 7.946 Å
α = 90.00°, β = 90.00°, γ = 90.00°
Atoms (fractional coordinates):
Pr 0.000 0.000 0.000
Pr 0.000 0.500 0.500
Pr 0.500 0.000 0.500
Pr 0.500 0.500 0.000
Tm 0.250 0.250 0.250
Tm 0.250 0.750 0.750
Tm 0.750 0.250 0.750
Tm 0.750 0.750 0.250
Pu 0.250 0.250 0.750
Pu 0.250 0.750 0.250
Pu 0.750 0.250 0.250
Pu 0.750 0.750 0.750
Th 0.000 0.000 0.500
Th 0.000 0.500 0.000
Th 0.500 0.000 0.000
Th 0.500 0.500 0.500

Computed properties:
E_tot = -7.5341 eV per atom
DFT formation energy = 0.866 eV/f.u.

---

2.
Computed, not measured: an optimized crystal structure of Sr2PbW at the PBE level of DFT.

a = 12.551 Å, b = 3.269 Å, c = 6.030 Å
α = 90.00°, β = 106.98°, γ = 90.00°
Atoms (fractional coordinates):
Sr 0.000 0.000 0.000
Sr 0.191 0.000 0.623
Sr 0.500 0.500 0.000
Sr 0.691 0.500 0.623
Pb 0.429 0.000 0.456
Pb 0.929 0.500 0.456
W 0.254 0.500 0.160
W 0.754 0.000 0.160

Computed properties:
E_tot = -4.3509 eV per atom
DFT formation energy = 2.622 eV/f.u.

---

3.
Computed, not measured: an optimized crystal structure of Tb3Y4Er5 at the PBE level of DFT.

a = 8.487 Å, b = 8.487 Å, c = 9.264 Å
α = 114.85°, β = 114.85°, γ = 40.43°
Atoms (fractional coordinates):
Tb 0.000 0.000 0.000
Tb 0.290 0.290 0.766
Tb 0.710 0.710 0.234
Y 0.288 0.288 0.121
Y 0.419 0.419 0.561
Y 0.581 0.581 0.439
Y 0.712 0.712 0.879
Er 0.073 0.073 0.699
Er 0.172 0.172 0.385
Er 0.500 0.500 0.000
Er 0.828 0.828 0.615
Er 0.927 0.927 0.301

Computed properties:
E_tot = -4.9736 eV per atom
DFT formation energy = 2.878 eV/f.u.

---

4.
Computed, not measured: an optimized crystal structure of Tb3HoEr8 at the PBE level of DFT.

a = 9.325 Å, b = 9.325 Å, c = 9.325 Å
α = 131.85°, β = 131.85°, γ = 70.47°
Atoms (fractional coordinates):
Tb 0.000 0.000 0.000
Tb 0.250 0.750 0.500
Tb 0.750 0.250 0.500
Ho 0.500 0.500 0.000
Er 0.126 0.126 0.501
Er 0.126 0.625 0.000
Er 0.375 0.375 0.501
Er 0.375 0.874 0.000
Er 0.625 0.126 0.000
Er 0.625 0.625 0.499
Er 0.874 0.375 0.000
Er 0.874 0.874 0.499

Computed properties:
E_tot = -3.8445 eV per atom
DFT formation energy = 8.837 eV/f.u.

---

5.
Computed, not measured: an optimized crystal structure of Pu2Al3Ga4 at the PBE level of DFT.

a = 8.154 Å, b = 8.154 Å, c = 7.856 Å
α = 90.00°, β = 90.00°, γ = 138.17°
Atoms (fractional coordinates):
Pu 0.108 0.892 0.910
Pu 0.392 0.608 0.410
Pu 0.608 0.392 0.590
Pu 0.892 0.108 0.090
Al 0.000 0.000 0.500
Al 0.025 0.475 0.750
Al 0.475 0.025 0.250
Al 0.500 0.500 0.000
Al 0.525 0.975 0.750
Al 0.975 0.525 0.250
Ga 0.179 0.821 0.533
Ga 0.194 0.306 0.750
Ga 0.306 0.194 0.250
Ga 0.321 0.679 0.033
Ga 0.679 0.321 0.967
Ga 0.694 0.806 0.750
Ga 0.806 0.694 0.250
Ga 0.821 0.179 0.467

Computed properties:
E_tot = -6.0659 eV per atom
DFT formation energy = -2.594 eV/f.u.

---

6.
Computed, not measured: an optimized crystal structure of ReNi2OsRu at the PBE level of DFT.

a = 4.415 Å, b = 4.415 Å, c = 4.578 Å
α = 90.00°, β = 90.00°, γ = 90.00°
Atoms (fractional coordinates):
Re 0.000 0.000 0.000
Ni 0.000 0.500 0.000
Ni 0.500 0.000 0.000
Os 0.500 0.500 0.500
Ru 0.000 0.000 0.500

Computed properties:
E_tot = -6.8910 eV per atom
DFT formation energy = 10.061 eV/f.u.

---

7.
Computed, not measured: an optimized crystal structure of LiTl4Zn3F12 at the PBE level of DFT.

a = 7.214 Å, b = 7.214 Å, c = 7.214 Å
α = 109.47°, β = 109.47°, γ = 109.47°
Atoms (fractional coordinates):
Li 0.000 0.000 0.000
Tl 0.000 0.000 0.500
Tl 0.000 0.500 0.000
Tl 0.500 0.000 0.000
Tl 0.500 0.500 0.500
Zn 0.000 0.500 0.500
Zn 0.500 0.000 0.500
Zn 0.500 0.500 0.000
F 0.000 0.256 0.256
F 0.000 0.744 0.744
F 0.250 0.500 0.750
F 0.250 0.750 0.500
F 0.256 0.000 0.256
F 0.256 0.256 0.000
F 0.500 0.250 0.750
F 0.500 0.750 0.250
F 0.744 0.000 0.744
F 0.744 0.744 0.000
F 0.750 0.250 0.500
F 0.750 0.500 0.250

Computed properties:
E_tot = -3.9886 eV per atom
E_form (uncorrected) = -42.1 eV/f.u.

---

8.
Computed, not measured: an optimized crystal structure of MgSc at the PBE level of DFT.

a = 4.965 Å, b = 4.965 Å, c = 9.401 Å
α = 90.00°, β = 90.00°, γ = 120.00°
Atoms (fractional coordinates):
Mg 0.000 0.000 0.250
Mg 0.000 0.000 0.750
Mg 0.333 0.667 0.250
Mg 0.667 0.333 0.750
Sc 0.333 0.667 0.585
Sc 0.333 0.667 0.915
Sc 0.667 0.333 0.085
Sc 0.667 0.333 0.415

Computed properties:
E_tot = -3.7693 eV per atom
DFT formation energy = 0.388 eV/f.u.

---

9.
Computed, not measured: an optimized crystal structure of AcNdSm4S8 at the PBE level of DFT.

a = 8.359 Å, b = 8.359 Å, c = 8.359 Å
α = 59.81°, β = 59.81°, γ = 59.81°
Atoms (fractional coordinates):
Ac 0.000 0.000 0.000
Nd 0.377 0.377 0.377
Sm 0.376 0.376 0.869
Sm 0.376 0.869 0.376
Sm 0.749 0.749 0.749
Sm 0.869 0.376 0.376
S 0.136 0.136 0.585
S 0.136 0.585 0.136
S 0.138 0.138 0.138
S 0.143 0.621 0.621
S 0.585 0.136 0.136
S 0.618 0.618 0.618
S 0.621 0.143 0.621
S 0.621 0.621 0.143

Computed properties:
E_tot = -6.2628 eV per atom
E_form (uncorrected) = -26.9 eV/f.u.

---

10.
Computed, not measured: an optimized crystal structure of BeTlCuSe2 at the PBE level of DFT.

a = 4.644 Å, b = 4.644 Å, c = 5.003 Å
α = 90.00°, β = 90.00°, γ = 90.00°
Atoms (fractional coordinates):
Be 0.000 0.000 0.000
Tl 0.000 0.000 0.500
Cu 0.500 0.500 0.500
Se 0.000 0.500 0.000
Se 0.500 0.000 0.000

Computed properties:
E_tot = -2.9958 eV per atom
E_form (uncorrected) = 2.2 eV/f.u.

---

11.
Computed, not measured: an optimized crystal structure of PIrCl2 at the PBE level of DFT.

a = 2.977 Å, b = 2.977 Å, c = 26.751 Å
α = 90.00°, β = 90.00°, γ = 120.00°
Atoms (fractional coordinates):
P 0.000 0.000 0.000
P 0.333 0.667 0.667
P 0.667 0.333 0.333
Ir 0.000 0.000 0.500
Ir 0.333 0.667 0.167
Ir 0.667 0.333 0.833
Cl 0.000 0.000 0.415
Cl 0.000 0.000 0.585
Cl 0.333 0.667 0.082
Cl 0.333 0.667 0.251
Cl 0.667 0.333 0.749
Cl 0.667 0.333 0.918

Computed properties:
E_tot = -3.8934 eV per atom
E_form (uncorrected) = 2.4 eV/f.u.

---

12.
Computed, not measured: an optimized crystal structure of InSb2Te2 at the PBE level of DFT.

a = 8.676 Å, b = 8.676 Å, c = 4.206 Å
α = 90.00°, β = 90.00°, γ = 90.00°
Atoms (fractional coordinates):
In 0.000 0.000 0.000
In 0.500 0.500 0.000
Sb 0.176 0.324 0.000
Sb 0.324 0.824 0.000
Sb 0.676 0.176 0.000
Sb 0.824 0.676 0.000
Te 0.157 0.657 0.500
Te 0.343 0.157 0.500
Te 0.657 0.843 0.500
Te 0.843 0.343 0.500

Computed properties:
E_tot = -3.4227 eV per atom
E_form (uncorrected) = 0.2 eV/f.u.

---

13.
Computed, not measured: an optimized crystal structure of Sc2Al3Ga at the PBE level of DFT.

a = 3.216 Å, b = 4.445 Å, c = 7.639 Å
α = 90.00°, β = 90.00°, γ = 90.00°
Atoms (fractional coordinates):
Sc 0.000 0.000 0.000
Sc 0.000 0.500 0.498
Al 0.500 0.000 0.664
Al 0.500 0.500 0.167
Al 0.500 0.500 0.831
Ga 0.500 0.000 0.332

Computed properties:
E_tot = -4.9843 eV per atom
DFT formation energy = -2.988 eV/f.u.

---

14.
Computed, not measured: an optimized crystal structure of Sc2TaBe2Rh5 at the PBE level of DFT.

a = 9.454 Å, b = 9.454 Å, c = 3.234 Å
α = 90.00°, β = 90.00°, γ = 90.00°
Atoms (fractional coordinates):
Sc 0.173 0.327 0.000
Sc 0.327 0.827 0.000
Sc 0.673 0.173 0.000
Sc 0.827 0.673 0.000
Ta 0.000 0.000 0.000
Ta 0.500 0.500 0.000
Be 0.120 0.620 0.000
Be 0.380 0.120 0.000
Be 0.620 0.880 0.000
Be 0.880 0.380 0.000
Rh 0.000 0.500 0.500
Rh 0.072 0.789 0.500
Rh 0.211 0.072 0.500
Rh 0.289 0.572 0.500
Rh 0.428 0.289 0.500
Rh 0.500 0.000 0.500
Rh 0.572 0.711 0.500
Rh 0.711 0.428 0.500
Rh 0.789 0.928 0.500
Rh 0.928 0.211 0.500

Computed properties:
E_tot = -7.7113 eV per atom
DFT formation energy = -8.388 eV/f.u.

---

15.
Computed, not measured: an optimized crystal structure of Fe2SnPd at the PBE level of DFT.

a = 8.523 Å, b = 4.696 Å, c = 6.214 Å
α = 90.00°, β = 92.82°, γ = 90.00°
Atoms (fractional coordinates):
Fe 0.000 0.247 0.000
Fe 0.000 0.753 0.000
Fe 0.078 0.000 0.665
Fe 0.422 0.500 0.335
Fe 0.500 0.253 0.000
Fe 0.500 0.747 0.000
Fe 0.578 0.500 0.665
Fe 0.922 0.000 0.335
Sn 0.244 0.500 0.791
Sn 0.256 0.000 0.209
Sn 0.744 0.000 0.791
Sn 0.756 0.500 0.209
Pd 0.121 0.500 0.366
Pd 0.379 0.000 0.634
Pd 0.621 0.000 0.366
Pd 0.879 0.500 0.634

Computed properties:
E_tot = -6.4836 eV per atom
DFT formation energy = 0.187 eV/f.u.

---

16.
Computed, not measured: an optimized crystal structure of InGa5Hg2 at the PBE level of DFT.

a = 4.585 Å, b = 7.922 Å, c = 10.049 Å
α = 86.37°, β = 87.37°, γ = 89.26°
Atoms (fractional coordinates):
In 0.000 0.000 0.000
In 0.500 0.500 0.500
Ga 0.000 0.500 0.000
Ga 0.060 0.810 0.654
Ga 0.158 0.496 0.255
Ga 0.361 0.964 0.244
Ga 0.386 0.311 0.853
Ga 0.500 0.000 0.500
Ga 0.614 0.689 0.147
Ga 0.639 0.036 0.756
Ga 0.842 0.504 0.745
Ga 0.940 0.190 0.346
Hg 0.082 0.230 0.615
Hg 0.430 0.732 0.878
Hg 0.570 0.268 0.122
Hg 0.918 0.770 0.385

Computed properties:
E_tot = -2.2413 eV per atom
DFT formation energy = 0.546 eV/f.u.

---

17.
Computed, not measured: an optimized crystal structure of UPd3Au3 at the PBE level of DFT.

a = 7.711 Å, b = 7.711 Å, c = 4.992 Å
α = 90.00°, β = 90.00°, γ = 120.00°
Atoms (fractional coordinates):
U 0.333 0.667 0.250
U 0.667 0.333 0.750
Pd 0.054 0.249 0.250
Pd 0.195 0.946 0.250
Pd 0.249 0.195 0.750
Pd 0.751 0.805 0.250
Pd 0.805 0.054 0.750
Pd 0.946 0.751 0.750
Au 0.099 0.459 0.750
Au 0.360 0.901 0.750
Au 0.459 0.360 0.250
Au 0.541 0.640 0.750
Au 0.640 0.099 0.250
Au 0.901 0.541 0.250

Computed properties:
E_tot = -5.4422 eV per atom
DFT formation energy = -1.397 eV/f.u.

---

18.
Computed, not measured: an optimized crystal structure of Nd3Ho2Tm7 at the PBE level of DFT.

a = 5.775 Å, b = 3.545 Å, c = 18.678 Å
α = 90.00°, β = 93.08°, γ = 90.00°
Atoms (fractional coordinates):
Nd 0.000 0.000 0.000
Nd 0.276 0.500 0.633
Nd 0.724 0.500 0.367
Ho 0.212 0.000 0.291
Ho 0.788 0.000 0.709
Tm 0.192 0.500 0.143
Tm 0.243 0.000 0.462
Tm 0.305 0.000 0.825
Tm 0.500 0.500 0.000
Tm 0.695 0.000 0.175
Tm 0.757 0.000 0.538
Tm 0.808 0.500 0.857

Computed properties:
E_tot = -4.4729 eV per atom
DFT formation energy = 1.085 eV/f.u.

---

19.
Computed, not measured: an optimized crystal structure of Rb2CdI at the PBE level of DFT.

a = 4.525 Å, b = 4.525 Å, c = 9.005 Å
α = 90.00°, β = 90.00°, γ = 90.00°
Atoms (fractional coordinates):
Rb 0.000 0.000 0.239
Rb 0.000 0.000 0.761
Cd 0.500 0.500 0.500
I 0.500 0.500 0.000

Computed properties:
E_tot = -1.7728 eV per atom
E_form (uncorrected) = -2.7 eV/f.u.

---

20.
Computed, not measured: an optimized crystal structure of Cs3Hg2Bi2 at the PBE level of DFT.

a = 7.464 Å, b = 10.254 Å, c = 16.747 Å
α = 90.00°, β = 90.00°, γ = 90.00°
Atoms (fractional coordinates):
Cs 0.122 0.119 0.104
Cs 0.122 0.119 0.396
Cs 0.122 0.381 0.604
Cs 0.122 0.381 0.896
Cs 0.331 0.727 0.750
Cs 0.331 0.773 0.250
Cs 0.669 0.227 0.750
Cs 0.669 0.273 0.250
Cs 0.878 0.619 0.104
Cs 0.878 0.619 0.396
Cs 0.878 0.881 0.604
Cs 0.878 0.881 0.896
Hg 0.375 0.028 0.590
Hg 0.375 0.028 0.910
Hg 0.375 0.472 0.090
Hg 0.375 0.472 0.410
Hg 0.625 0.528 0.590
Hg 0.625 0.528 0.910
Hg 0.625 0.972 0.090
Hg 0.625 0.972 0.410
Bi 0.190 0.084 0.750
Bi 0.190 0.416 0.250
Bi 0.393 0.750 0.000
Bi 0.393 0.750 0.500
Bi 0.607 0.250 0.000
Bi 0.607 0.250 0.500
Bi 0.810 0.584 0.750
Bi 0.810 0.916 0.250

Computed properties:
E_tot = -1.8682 eV per atom
DFT formation energy = -2.151 eV/f.u.